[1]
SrPtS: relaxed, GGA-PBE.

Results
Total moment, μB per formula unit: 0.00
Uncorrected energy, eV per atom: -5.07
Formation energy from raw total energies, eV per atom: -1.124
Volume, Å³ per atom: 25.54
Space group: P1, No. 1

abc: 4.432 6.485 6.107
angles: 94.80 101.37 62.94
Atoms (fractional coordinates):
Sr  0.209  0.995  0.066
Sr  0.011  0.490  0.637
S  0.662  0.028  0.574
S  0.583  0.491  0.006
Pt  0.576  0.280  0.290
Pt  0.232  0.922  0.560


[2]
Sm5TlIn2: relaxed, GGA-PBE.

Results
Energy relative to the elements, eV/atom: -0.33
Total moment, μB per formula unit: 0.00
Uncorrected energy, eV per atom: -4.26
Volume, Å³ per atom: 30.87
Excess energy over the best structure of this formula in the dataset, meV/atom: 0
Space group: I4/mcm, No. 140

abc: 8.197 8.197 9.362
angles: 115.96 115.96 90.00
Atoms (fractional coordinates):
Sm  0.515  0.682  0.697
Sm  0.818  0.985  0.303
Sm  0.000  0.000  0.000
Sm  0.500  0.500  0.000
Sm  0.182  0.015  0.697
Sm  0.682  0.182  0.697
Sm  0.015  0.515  0.697
Sm  0.318  0.818  0.303
Sm  0.985  0.485  0.303
Sm  0.485  0.318  0.303
Tl  0.750  0.750  0.500
Tl  0.250  0.250  0.500
In  0.128  0.372  0.000
In  0.628  0.128  0.000
In  0.372  0.872  0.000
In  0.872  0.628  0.000


[3]
Co2NiHg: relaxed, GGA-PBE.

Results
Energy relative to the elements, eV/atom: 0.26
Total moment, μB per formula unit: 3.72
Uncorrected energy, eV per atom: -4.82
Volume, Å³ per atom: 13.56
Space group: P4mm, No. 99

abc: 2.857 2.858 6.641
angles: 90.00 90.00 90.00
Atoms (fractional coordinates):
Co  0.000  0.000  0.007
Co  0.500  0.500  0.200
Hg  0.000  0.000  0.502
Ni  0.500  0.500  0.791


[4]
Nb3Ir2Pd: relaxed, GGA-PBE.

Results
Energy relative to the elements, eV/atom: -0.46
Total moment, μB per formula unit: 0.00
Uncorrected energy, eV per atom: -9.31
Volume, Å³ per atom: 16.30
Excess energy over the best structure of this formula in the dataset, meV/atom: 0
Space group: P4/mmm, No. 123

abc: 2.863 2.863 11.930
angles: 90.00 90.00 90.00
Atoms (fractional coordinates):
Nb  0.000  0.000  0.000
Nb  0.000  0.000  0.674
Nb  0.000  0.000  0.326
Ir  0.500  0.500  0.833
Ir  0.500  0.500  0.167
Pd  0.500  0.500  0.500


Number 1: N(E_F) 0.00 states/eV/cell. Number 2: N(E_F) 17.23 states/eV/cell. Number 3: N(E_F) 5.18 states/eV/cell. Number 4: N(E_F) 5.29 states/eV/cell.